Entry 1:
## Ce4Sb2Br5 (GGA-PBE)

Data for crystalline Ce4Sb2Br5 at its relaxed geometry.

a = 13.068 Å, b = 13.068 Å, c = 7.749 Å
α = 97.78°, β = 97.78°, γ = 17.27°
Fractional positions:
Ce (0.000, 0.000, 0.172)
Ce (0.000, 0.000, 0.828)
Ce (0.354, 0.354, 0.939)
Ce (0.646, 0.646, 0.061)
Sb (0.251, 0.251, 0.138)
Sb (0.749, 0.749, 0.862)
Br (0.112, 0.112, 0.781)
Br (0.114, 0.114, 0.318)
Br (0.500, 0.500, 0.500)
Br (0.886, 0.886, 0.682)
Br (0.888, 0.888, 0.219)

E_form (uncorrected)	-1128	meV/atom
total moment	4.88	μB/cell

---

Entry 2:
## CeScBr4 (GGA-PBE)

Data for crystalline CeScBr4 at its relaxed geometry.

a = 9.354 Å, b = 9.354 Å, c = 6.932 Å
α = 103.90°, β = 103.90°, γ = 129.18°
Fractional positions:
Ce (0.057, 0.943, 0.750)
Ce (0.943, 0.057, 0.250)
Sc (0.445, 0.555, 0.250)
Sc (0.555, 0.445, 0.750)
Br (0.094, 0.436, 0.242)
Br (0.210, 0.348, 0.770)
Br (0.348, 0.210, 0.270)
Br (0.436, 0.094, 0.742)
Br (0.564, 0.906, 0.258)
Br (0.652, 0.790, 0.730)
Br (0.790, 0.652, 0.230)
Br (0.906, 0.564, 0.758)

E_form (uncorrected)	-1488	meV/atom
total moment	4.00	μB/cell

---

Entry 3:
## Ce2Sc2Br7 (GGA-PBE)

Data for crystalline Ce2Sc2Br7 at its relaxed geometry.

a = 7.453 Å, b = 7.453 Å, c = 7.553 Å
α = 90.25°, β = 90.25°, γ = 111.53°
Fractional positions:
Ce (0.145, 0.855, 0.000)
Ce (0.855, 0.145, 0.000)
Sc (0.213, 0.213, 0.339)
Sc (0.787, 0.787, 0.661)
Br (0.085, 0.486, 0.231)
Br (0.112, 0.112, 0.700)
Br (0.486, 0.085, 0.231)
Br (0.500, 0.500, 0.500)
Br (0.514, 0.915, 0.769)
Br (0.888, 0.888, 0.300)
Br (0.915, 0.514, 0.769)

E_form (uncorrected)	-1316	meV/atom
total moment	4.66	μB/cell

---

Entry 4:
## CeScBr5 (GGA-PBE)

Data for crystalline CeScBr5 at its relaxed geometry.

a = 8.188 Å, b = 3.973 Å, c = 13.502 Å
α = 90.00°, β = 92.34°, γ = 90.00°
Fractional positions:
Ce (0.087, 0.250, 0.158)
Ce (0.913, 0.750, 0.842)
Sc (0.420, 0.750, 0.352)
Sc (0.580, 0.250, 0.648)
Br (0.068, 0.750, 0.323)
Br (0.156, 0.250, 0.930)
Br (0.323, 0.250, 0.481)
Br (0.358, 0.750, 0.141)
Br (0.373, 0.750, 0.704)
Br (0.627, 0.250, 0.296)
Br (0.642, 0.250, 0.859)
Br (0.677, 0.750, 0.519)
Br (0.844, 0.750, 0.070)
Br (0.932, 0.250, 0.677)

E_form (uncorrected)	-1667	meV/atom
total moment	4.03	μB/cell

---

Entry 5:
## CeScBr2 (GGA-PBE)

Data for crystalline CeScBr2 at its relaxed geometry.

a = 3.648 Å, b = 3.648 Å, c = 29.351 Å
α = 90.00°, β = 90.00°, γ = 120.00°
Fractional positions:
Ce (0.000, 0.000, 0.000)
Ce (0.333, 0.667, 0.667)
Ce (0.667, 0.333, 0.333)
Sc (0.000, 0.000, 0.500)
Sc (0.333, 0.667, 0.167)
Sc (0.667, 0.333, 0.833)
Br (0.000, 0.000, 0.408)
Br (0.000, 0.000, 0.592)
Br (0.333, 0.667, 0.075)
Br (0.333, 0.667, 0.259)
Br (0.667, 0.333, 0.741)
Br (0.667, 0.333, 0.925)

E_form (uncorrected)	-921	meV/atom
total moment	3.49	μB/cell

---

Entry 6:
## Ce3SeBr7 (GGA-PBE)

Data for crystalline Ce3SeBr7 at its relaxed geometry.

a = 8.795 Å, b = 8.795 Å, c = 6.847 Å
α = 90.00°, β = 90.00°, γ = 120.00°
Fractional positions:
Ce (0.172, 0.344, 0.000)
Ce (0.172, 0.828, 0.000)
Ce (0.656, 0.828, 0.000)
Se (0.333, 0.667, 0.216)
Br (0.000, 0.000, 0.759)
Br (0.015, 0.508, 0.763)
Br (0.314, 0.157, 0.222)
Br (0.492, 0.508, 0.763)
Br (0.492, 0.985, 0.763)
Br (0.843, 0.157, 0.222)
Br (0.843, 0.686, 0.222)

E_form (uncorrected)	-1782	meV/atom
total moment	3.00	μB/cell

---

Entry 7:
## Ce2SeBr (GGA-PBE)

Data for crystalline Ce2SeBr at its relaxed geometry.

a = 3.673 Å, b = 3.673 Å, c = 7.352 Å
α = 90.00°, β = 90.00°, γ = 90.00°
Fractional positions:
Ce (0.000, 0.000, 0.236)
Ce (0.000, 0.000, 0.764)
Se (0.500, 0.500, 0.000)
Br (0.500, 0.500, 0.500)

E_form (uncorrected)	-1240	meV/atom
offset from the most stable computed form	0.84	eV/f.u.
total moment	3.08	μB/cell

---

Entry 8:
## Ce4Se5Br (GGA-PBE)

Data for crystalline Ce4Se5Br at its relaxed geometry.

a = 9.946 Å, b = 9.946 Å, c = 9.946 Å
α = 154.55°, β = 132.52°, γ = 54.63°
Fractional positions:
Ce (0.216, 0.216, 0.000)
Ce (0.264, 0.500, 0.764)
Ce (0.736, 0.500, 0.236)
Ce (0.784, 0.784, 0.000)
Se (0.069, 0.335, 0.734)
Se (0.399, 0.665, 0.734)
Se (0.500, 0.000, 0.500)
Se (0.601, 0.335, 0.266)
Se (0.931, 0.665, 0.266)
Br (0.000, 0.000, 0.000)

E_form (uncorrected)	-1684	meV/atom
total moment	4.36	μB/cell

---

Entry 9:
## Ce2SeBr (GGA-PBE)

Data for crystalline Ce2SeBr at its relaxed geometry.

a = 4.020 Å, b = 4.020 Å, c = 23.423 Å
α = 90.00°, β = 90.00°, γ = 120.00°
Fractional positions:
Ce (0.000, 0.000, 0.000)
Ce (0.000, 0.000, 0.184)
Ce (0.333, 0.667, 0.667)
Ce (0.333, 0.667, 0.851)
Ce (0.667, 0.333, 0.333)
Ce (0.667, 0.333, 0.517)
Se (0.000, 0.000, 0.592)
Se (0.333, 0.667, 0.258)
Se (0.667, 0.333, 0.925)
Br (0.000, 0.000, 0.760)
Br (0.333, 0.667, 0.427)
Br (0.667, 0.333, 0.093)

E_form (uncorrected)	-1415	meV/atom
offset from the most stable computed form	0.14	eV/f.u.
total moment	8.29	μB/cell

---

Entry 10:
## Ce6Se5Br (GGA-PBE)

Data for crystalline Ce6Se5Br at its relaxed geometry.

a = 7.281 Å, b = 7.281 Å, c = 7.272 Å
α = 99.61°, β = 99.61°, γ = 120.01°
Fractional positions:
Ce (0.074, 0.415, 0.745)
Ce (0.244, 0.244, 0.253)
Ce (0.415, 0.074, 0.745)
Ce (0.585, 0.926, 0.255)
Ce (0.756, 0.756, 0.747)
Ce (0.926, 0.585, 0.255)
Se (0.000, 0.000, 0.500)
Se (0.167, 0.833, 0.000)
Se (0.336, 0.664, 0.500)
Se (0.664, 0.336, 0.500)
Se (0.833, 0.167, 0.000)
Br (0.500, 0.500, 0.000)

E_form (uncorrected)	-1698	meV/atom
total moment	5.18	μB/cell

---

Entry 11:
## CeSeBr3 (GGA-PBE)

Data for crystalline CeSeBr3 at its relaxed geometry.

a = 7.323 Å, b = 7.323 Å, c = 7.650 Å
α = 117.27°, β = 117.27°, γ = 76.09°
Fractional positions:
Ce (0.231, 0.231, 0.092)
Ce (0.769, 0.769, 0.908)
Se (0.446, 0.446, 0.589)
Se (0.554, 0.554, 0.411)
Br (0.057, 0.057, 0.275)
Br (0.100, 0.476, 0.827)
Br (0.476, 0.100, 0.827)
Br (0.524, 0.900, 0.173)
Br (0.900, 0.524, 0.173)
Br (0.943, 0.943, 0.725)

E_form (uncorrected)	-1401	meV/atom
total moment	1.39	μB/cell

---

Entry 12:
## CeSe2Br8 (GGA-PBE)

Data for crystalline CeSe2Br8 at its relaxed geometry.

a = 7.419 Å, b = 7.419 Å, c = 9.722 Å
α = 99.78°, β = 99.78°, γ = 107.94°
Fractional positions:
Ce (0.000, 0.000, 0.000)
Se (0.082, 0.082, 0.422)
Se (0.918, 0.918, 0.578)
Br (0.081, 0.760, 0.180)
Br (0.240, 0.919, 0.820)
Br (0.304, 0.304, 0.193)
Br (0.326, 0.326, 0.606)
Br (0.674, 0.674, 0.394)
Br (0.696, 0.696, 0.807)
Br (0.760, 0.081, 0.180)
Br (0.919, 0.240, 0.820)

E_form (uncorrected)	-695	meV/atom
offset from the most stable computed form	0.00	eV/f.u.
total moment	0.00	μB/cell